First-principles (SCAN) data for a PBEsol-optimized structure of Ba2AlIn, as listed in Alexandria.

Cell lengths 5.847, 5.847, 5.847 Å; angles 60.00, 60.00, 60.00 degrees
Sites, in units of the cell vectors:
In  0.500  0.500  0.500
Al  0.000  0.000  0.000
Ba  0.250  0.250  0.250
Ba  0.750  0.750  0.750

Computed properties:
Its formation energy is -260 meV per atom. As for the space group: Fm-3m. The calculation puts the density of states at the Fermi level at 3.11 states/eV/cell. As for the uncorrected energy: -121.3 eV/f.u.

***

First-principles (SCAN) data for a PBEsol-optimized structure of BaAl2In, as listed in Alexandria.

Cell lengths 3.647, 3.647, 7.715 Å; angles 90.00, 90.00, 90.00 degrees
Sites, in units of the cell vectors:
Ba  0.000  0.000  0.488
Al  0.000  0.000  0.021
In  0.500  0.500  0.811
Al  0.500  0.500  0.180

Computed properties:
Its formation energy is -150 meV per atom. As for the space group: P4mm. The calculation puts the density of states at the Fermi level at 1.23 states/eV/cell. As for the uncorrected energy: -89.0 eV/f.u.

***

First-principles (SCAN) data for a PBEsol-optimized structure of BaAlIn, as listed in Alexandria.

Cell lengths 4.674, 4.674, 5.136 Å; angles 90.00, 90.00, 120.00 degrees
Sites, in units of the cell vectors:
Al  0.000  0.000  0.167
Ba  0.333  0.667  0.667
In  0.667  0.333  0.166

Computed properties:
Its formation energy is -421 meV per atom. As for the space group: P-6m2. The calculation puts the density of states at the Fermi level at 1.58 states/eV/cell. As for the uncorrected energy: -82.0 eV/f.u.

***

First-principles (SCAN) data for a PBEsol-optimized structure of BaAlIn2Si, as listed in Alexandria.

Cell lengths 5.119, 5.119, 5.978 Å; angles 90.00, 90.00, 90.00 degrees
Sites, in units of the cell vectors:
Al  0.000  0.000  0.000
Si  0.500  0.500  0.500
In  0.000  0.500  0.000
Ba  0.000  0.000  0.500
In  0.500  0.000  0.000

Computed properties:
As for the space group: P4/mmm. The value obtained for the uncorrected formation energy is 491 meV per atom. The calculation puts the density of states at the Fermi level at 3.54 states/eV/cell. As for the uncorrected energy: -121.6 eV/f.u.

***

First-principles (SCAN) data for a PBEsol-optimized structure of BaAl3Ir, as listed in Alexandria.

Cell lengths 4.807, 4.807, 4.807 Å; angles 90.00, 90.00, 90.00 degrees
Sites, in units of the cell vectors:
Al  0.500  0.000  0.000
Al  0.000  0.500  0.000
Ba  0.500  0.500  0.500
Al  0.000  0.000  0.500
Ir  0.000  0.000  0.000

Computed properties:
Its formation energy is -600 meV per atom. As for the space group: Pm-3m. The calculation puts the density of states at the Fermi level at 0.67 states/eV/cell. As for the uncorrected energy: -136.9 eV/f.u.

***

First-principles (SCAN) data for a PBEsol-optimized structure of Ba4AlIr2O10, as listed in Alexandria.

Cell lengths 5.700, 7.243, 12.963 Å; angles 90.00, 90.00, 113.17 degrees
Sites, in units of the cell vectors:
Ba  0.493  0.986  0.117
O  0.787  0.574  0.349
O  0.112  0.729  0.746
Ba  0.213  0.426  0.638
Ir  0.370  0.740  0.849
Ir  0.630  0.260  0.349
Ba  0.989  0.978  0.381
O  0.979  0.958  0.161
Al  0.887  0.774  0.654
O  0.484  0.969  0.341
O  0.382  0.271  0.246
Ir  0.252  0.505  0.001
O  0.077  0.715  0.539
O  0.362  0.285  0.039
Al  0.113  0.226  0.154
O  0.923  0.285  0.039
O  0.618  0.729  0.746
Ba  0.507  0.014  0.617
Ir  0.748  0.495  0.501
O  0.403  0.272  0.466
O  0.286  0.573  0.149
O  0.714  0.427  0.649
O  0.869  0.272  0.466
O  0.131  0.728  0.966
O  0.888  0.271  0.246
O  0.638  0.715  0.539
Ba  0.713  0.427  0.857
O  0.213  0.426  0.849
O  0.021  0.042  0.661
O  0.516  0.031  0.841
Ba  0.011  0.022  0.881
Ba  0.287  0.573  0.357
O  0.597  0.728  0.966
Ba  0.787  0.574  0.138

Computed properties:
As for the space group: Cmc2_1. The value obtained for the uncorrected formation energy is -2303 meV per atom. The calculation puts the density of states at the Fermi level at 11.81 states/eV/cell. As for the uncorrected energy: -409.6 eV/f.u.

***

First-principles (SCAN) data for a PBEsol-optimized structure of Ba5AlIr2O11, as listed in Alexandria.

Cell lengths 5.733, 11.101, 18.723 Å; angles 90.00, 90.00, 90.00 degrees
Sites, in units of the cell vectors:
Ir  0.250  0.712  0.938
O  0.250  0.543  0.602
O  0.250  0.096  0.272
Ir  0.250  0.705  0.564
O  0.750  0.642  0.748
O  0.514  0.328  0.514
O  0.015  0.895  0.400
O  0.750  0.382  0.969
O  0.750  0.312  0.650
O  0.003  0.750  0.135
O  0.750  0.858  0.248
Ba  0.750  0.045  0.328
O  0.750  0.118  0.469
O  0.486  0.828  0.986
O  0.750  0.188  0.150
O  0.514  0.172  0.014
Ir  0.750  0.288  0.062
Ba  0.750  0.604  0.026
Ir  0.250  0.788  0.438
O  0.014  0.828  0.986
Ir  0.750  0.205  0.936
O  0.986  0.328  0.514
O  0.515  0.395  0.100
O  0.250  0.142  0.752
O  0.014  0.672  0.486
O  0.250  0.404  0.772
Ba  0.750  0.528  0.575
O  0.250  0.812  0.850
O  0.486  0.672  0.486
Ba  0.750  0.690  0.361
Ba  0.750  0.810  0.861
O  0.997  0.250  0.865
O  0.503  0.250  0.865
O  0.750  0.596  0.228
O  0.750  0.043  0.898
O  0.997  0.250  0.365
Ir  0.750  0.295  0.436
O  0.015  0.605  0.900
Ba  0.250  0.629  0.753
Ba  0.250  0.396  0.974
O  0.485  0.895  0.400
O  0.986  0.172  0.014
O  0.750  0.904  0.728
O  0.250  0.957  0.102
O  0.497  0.750  0.135
O  0.250  0.618  0.031
Ba  0.250  0.871  0.253
Al  0.750  0.738  0.188
Ir  0.750  0.212  0.562
Ba  0.750  0.455  0.828
Ba  0.250  0.472  0.425
O  0.497  0.750  0.635
Ba  0.250  0.028  0.925
O  0.985  0.105  0.600
O  0.250  0.688  0.350
Ba  0.250  0.545  0.172
O  0.515  0.105  0.600
Ba  0.750  0.371  0.247
Al  0.250  0.238  0.312
O  0.250  0.882  0.531
O  0.003  0.750  0.635
Ba  0.250  0.955  0.672
Al  0.250  0.262  0.812
Ba  0.250  0.190  0.139
Ba  0.750  0.129  0.747
O  0.750  0.457  0.398
O  0.250  0.358  0.252
O  0.503  0.250  0.365
Ba  0.750  0.972  0.075
Ba  0.250  0.310  0.639
O  0.985  0.395  0.100
O  0.485  0.605  0.900
Ba  0.750  0.896  0.526
Ir  0.250  0.795  0.064
Al  0.750  0.762  0.688
Ba  0.250  0.104  0.474

Computed properties:
As for the space group: Pnma. The value obtained for the uncorrected formation energy is -2395 meV per atom. The calculation puts the density of states at the Fermi level at 15.76 states/eV/cell. As for the uncorrected energy: -461.7 eV/f.u.

***

First-principles (SCAN) data for a PBEsol-optimized structure of KBa2Al, as listed in Alexandria.

Cell lengths 4.168, 4.169, 11.035 Å; angles 90.00, 90.06, 90.00 degrees
Sites, in units of the cell vectors:
K  0.500  0.500  0.000
Ba  0.001  0.000  0.670
Ba  0.999  0.000  0.330
Al  0.500  0.500  0.500

Computed properties:
Its formation energy is -47 meV per atom. As for the space group: P2/m. The calculation puts the density of states at the Fermi level at 2.51 states/eV/cell. As for the uncorrected energy: -95.4 eV/f.u.